Entry 1:
The following is a DFT calculation (PBE) of crystalline FeNi2SnN at its relaxed geometry.

Unit cell a=3.9350 b=3.9350 c=3.8588 alpha=90.00 beta=90.00 gamma=90.00
Closest atoms and distances in Å follow each position.
Fractional coordinates of all 5 atoms:
1 Fe 0.0000 0.0000 0.5000  2 N 1.93
2 Sn 0.5000 0.5000 0.5000  8 Ni 2.76, 4 Fe 2.78
3 N 0.0000 0.0000 0.0000  2 Fe 1.93, 4 Ni 1.97
4 Ni 0.0000 0.5000 0.0000  2 N 1.97
5 Ni 0.5000 0.0000 0.0000  2 N 1.97

Computed properties:
Its space group is No. 123. The crystal system is tetragonal.

Entry 2:
The following is a DFT calculation (PBE) of crystalline Fe2TcNiN at its relaxed geometry.

Unit cell a=3.7915 b=3.7915 c=3.9652 alpha=90.00 beta=90.00 gamma=90.00
Closest atoms and distances in Å follow each position.
Fractional coordinates of all 5 atoms:
1 Fe 0.5000 0.0000 0.0000  2 N 1.90
2 Ni 0.5000 0.5000 0.5000  4 Tc 2.68, 8 Fe 2.74
3 Tc 0.0000 0.0000 0.5000  2 N 1.98
4 Fe 0.0000 0.5000 0.0000  2 N 1.90
5 N 0.0000 0.0000 0.0000  4 Fe 1.90, 2 Tc 1.98

Computed properties:
Its space group is No. 123. The crystal system is tetragonal.

Entry 3:
The following is a DFT calculation (PBE) of crystalline FeTc2NiN at its relaxed geometry.

Unit cell a=3.9897 b=3.9897 c=3.7346 alpha=90.00 beta=90.00 gamma=90.00
Closest atoms and distances in Å follow each position.
Fractional coordinates of all 5 atoms:
1 Tc 0.5000 0.0000 0.0000  2 N 1.99
2 Fe 0.0000 0.0000 0.5000  2 N 1.87
3 Ni 0.5000 0.5000 0.5000  8 Tc 2.73, 4 Fe 2.82
4 Tc 0.0000 0.5000 0.0000  2 N 1.99
5 N 0.0000 0.0000 0.0000  2 Fe 1.87, 4 Tc 1.99

Computed properties:
Its space group is No. 123. The crystal system is tetragonal.

Entry 4:
The following is a DFT calculation (PBE) of crystalline TlFe2NiN at its relaxed geometry.

Unit cell a=3.8952 b=3.8952 c=4.0257 alpha=90.00 beta=90.00 gamma=90.00
Closest atoms and distances in Å follow each position.
Fractional coordinates of all 5 atoms:
1 Fe 0.5000 0.0000 0.0000  2 N 1.95
2 N 0.0000 0.0000 0.0000  4 Fe 1.95, 2 Ni 2.01
3 Ni 0.0000 0.0000 0.5000  2 N 2.01
4 Tl 0.5000 0.5000 0.5000  4 Ni 2.75, 8 Fe 2.80
5 Fe 0.0000 0.5000 0.0000  2 N 1.95

Computed properties:
Its space group is No. 123. The crystal system is tetragonal.

Entry 5:
The following is a DFT calculation (PBE) of crystalline Fe2NiWN at its relaxed geometry.

Unit cell a=3.7563 b=3.7563 c=4.0239 alpha=90.00 beta=90.00 gamma=90.00
Closest atoms and distances in Å follow each position.
Fractional coordinates of all 5 atoms:
1 Fe 0.5000 0.0000 0.0000  2 N 1.88
2 W 0.0000 0.0000 0.5000  2 N 2.01
3 Ni 0.5000 0.5000 0.5000  4 W 2.66, 8 Fe 2.75
4 N 0.0000 0.0000 0.0000  4 Fe 1.88, 2 W 2.01
5 Fe 0.0000 0.5000 0.0000  2 N 1.88

Computed properties:
Its space group is No. 123. The crystal system is tetragonal.

Entry 6:
The following is a DFT calculation (PBE) of crystalline ZnFeNi2N at its relaxed geometry.

Unit cell a=3.7851 b=3.7851 c=3.7537 alpha=90.00 beta=90.00 gamma=90.00
Closest atoms and distances in Å follow each position.
Fractional coordinates of all 5 atoms:
1 Ni 0.0000 0.5000 0.0000  2 N 1.89
2 Fe 0.0000 0.0000 0.5000  2 N 1.88
3 Zn 0.5000 0.5000 0.5000  8 Ni 2.67, 4 Fe 2.68
4 N 0.0000 0.0000 0.0000  2 Fe 1.88, 4 Ni 1.89
5 Ni 0.5000 0.0000 0.0000  2 N 1.89

Computed properties:
Its space group is No. 123. The crystal system is tetragonal.

Entry 7:
The following is a DFT calculation (PBE) of crystalline ZnFe2NiN at its relaxed geometry.

Unit cell a=3.7722 b=3.7722 c=3.8252 alpha=90.00 beta=90.00 gamma=90.00
Closest atoms and distances in Å follow each position.
Fractional coordinates of all 5 atoms:
1 Fe 0.5000 0.0000 0.0000  2 N 1.89
2 N 0.0000 0.0000 0.0000  4 Fe 1.89, 2 Ni 1.91
3 Zn 0.5000 0.5000 0.5000  4 Ni 2.67, 8 Fe 2.69
4 Ni 0.0000 0.0000 0.5000  2 N 1.91
5 Fe 0.0000 0.5000 0.0000  2 N 1.89

Computed properties:
Its space group is No. 123. The crystal system is tetragonal.

Entry 8:
The following is a DFT calculation (PBE) of crystalline NpFeN2 at its relaxed geometry.

Unit cell a=3.5527 b=3.5527 c=5.9244 alpha=72.55 beta=72.55 gamma=60.00
Closest atoms and distances in Å follow each position.
Fractional coordinates of all 4 atoms:
1 Np 0.5000 0.5000 0.5000  6 N 2.26
2 N 0.1096 0.1096 0.6711  1 Fe 1.83
3 Fe 0.0000 0.0000 0.0000  2 N 1.83
4 N 0.8904 0.8904 0.3289  1 Fe 1.83

Computed properties:
Its space group is No. 166. The crystal system is trigonal.

Entry 9:
The following is a DFT calculation (PBE) of crystalline NpFeN2 at its relaxed geometry.

Unit cell a=3.1556 b=5.3565 c=10.6326 alpha=90.00 beta=90.00 gamma=90.00
Closest atoms and distances in Å follow each position.
Fractional coordinates of all 16 atoms:
1 Fe 0.7500 0.9248 0.5967  5 N 2.04-2.12
2 N 0.7500 0.6666 0.7458  2 Fe 2.10-2.12, 2 Np 2.32
3 N 0.7500 0.7490 0.0043  3 Fe 2.04-2.08
4 Fe 0.2500 0.5752 0.0967  5 N 2.04-2.12
5 Np 0.2500 0.4207 0.6440  7 N 2.31-2.41
6 N 0.2500 0.3334 0.2542  2 Fe 2.10-2.12, 2 Np 2.32
7 Fe 0.7500 0.4248 0.9033  5 N 2.04-2.12
8 Np 0.2500 0.9207 0.8560  7 N 2.31-2.41
9 Fe 0.2500 0.0752 0.4033  5 N 2.04-2.12
10 N 0.2500 0.7510 0.5043  3 Fe 2.04-2.08
11 N 0.2500 0.8334 0.2458  2 Fe 2.10-2.12, 2 Np 2.32
12 Np 0.7500 0.0793 0.1440  7 N 2.31-2.41
13 N 0.7500 0.1666 0.7542  2 Fe 2.10-2.12, 2 Np 2.32
14 N 0.2500 0.2510 0.9957  3 Fe 2.04-2.08
15 Np 0.7500 0.5793 0.3560  7 N 2.31-2.41
16 N 0.7500 0.2490 0.4957  3 Fe 2.04-2.08

Computed properties:
Its space group is No. 62. The crystal system is orthorhombic.

Entry 10:
The following is a DFT calculation (PBE) of crystalline NpFePN at its relaxed geometry.

Unit cell a=3.7892 b=3.7892 c=7.7346 alpha=90.00 beta=90.00 gamma=90.00
Closest atoms and distances in Å follow each position.
Fractional coordinates of all 8 atoms:
1 Fe 0.0000 0.0000 0.0000  4 P 2.20
2 Fe 0.5000 0.5000 0.0000  4 P 2.20
3 Np 0.0000 0.5000 0.3495  4 N 2.22
4 P 0.5000 0.0000 0.1451  4 Fe 2.20
5 N 0.5000 0.5000 0.5000  4 Np 2.22
6 P 0.0000 0.5000 0.8549  4 Fe 2.20
7 Np 0.5000 0.0000 0.6505  4 N 2.22
8 N 0.0000 0.0000 0.5000  4 Np 2.22

Computed properties:
Its space group is No. 129. The crystal system is tetragonal.

Entry 11:
The following is a DFT calculation (PBE) of crystalline NpFe2PN at its relaxed geometry.

Unit cell a=3.5275 b=5.5800 c=6.5886 alpha=90.00 beta=90.00 gamma=108.43
Closest atoms and distances in Å follow each position.
Fractional coordinates of all 10 atoms:
1 Fe 0.1710 0.3420 0.5545  1 N 1.85
2 Fe 0.8290 0.6580 0.0545  1 N 1.85
3 Fe 0.8290 0.6580 0.4455  1 N 1.85
4 Np 0.5431 0.0863 0.2500  4 N 2.46
5 N 0.0000 0.0000 0.5000  2 Fe 1.85
6 N 0.0000 0.0000 0.0000  2 Fe 1.85
7 Np 0.4569 0.9137 0.7500  4 N 2.46
8 P 0.2708 0.5416 0.2500  6 Fe 2.27
9 Fe 0.1710 0.3420 0.9455  1 N 1.85
10 P 0.7292 0.4584 0.7500  6 Fe 2.27

Computed properties:
Its space group is No. 63. The crystal system is orthorhombic.

Entry 12:
The following is a DFT calculation (PBE) of crystalline NpPa2FeN5 at its relaxed geometry.

Unit cell a=6.5058 b=6.5058 c=7.1576 alpha=117.03 beta=117.03 gamma=90.00
Closest atoms and distances in Å follow each position.
Fractional coordinates of all 18 atoms:
1 N 0.5000 0.5000 0.0000  4 Pa 2.42
2 Fe 0.2500 0.7500 0.5000  4 N 1.91
3 Pa 0.8318 0.6682 0.0000  4 N 2.20-2.42
4 N 0.4796 0.2958 0.2754  1 Fe 1.91
5 N 0.7042 0.2042 0.7246  1 Fe 1.91
6 Fe 0.7500 0.2500 0.5000  4 N 1.91
7 N 0.2042 0.0204 0.7246  1 Fe 1.91
8 N 0.5204 0.7042 0.7246  1 Fe 1.91
9 Pa 0.3318 0.8318 0.0000  4 N 2.20-2.42
10 Np 0.7500 0.7500 0.5000  10 N 2.74
11 N 0.0204 0.5204 0.7246  1 Fe 1.91
12 Pa 0.6682 0.1682 0.0000  4 N 2.20-2.42
13 Pa 0.1682 0.3318 0.0000  4 N 2.20-2.42
14 N 0.7958 0.9796 0.2754  1 Fe 1.91
15 Np 0.2500 0.2500 0.5000  10 N 2.74
16 N 0.9796 0.4796 0.2754  1 Fe 1.91
17 N 0.0000 0.0000 0.0000  4 Pa 2.42
18 N 0.2958 0.7958 0.2754  1 Fe 1.91

Computed properties:
Its space group is No. 140. The crystal system is tetragonal.

| no. | formation energy from raw total energies (kJ/mol of formula units) |
| --- | --- |
| 1 | -11.4 |
| 2 | 17.3 |
| 3 | 31.8 |
| 4 | 64.7 |
| 5 | 7.4 |
| 6 | -64.0 |
| 7 | -63.5 |
| 8 | -208.7 |
| 9 | -264.6 |
| 10 | -377.6 |
| 11 | -364.8 |
| 12 | -949.6 |